A relaxed structure of Ac2Pm7Er3. Source: the Alexandria database, functional PBE-GGA.

Computed properties:
SG = P2/m
ΔH_f (0 K) = 0.09 eV/atom
Mass density = 7746 kg/m³

Cell lengths 3.6361, 6.4888, 18.4720 Å; angles 75.79, 90.00, 90.00 degrees
Positions (direct):
Pm1 0.5000 0.9347 0.8345
Pm2 0.5000 0.2355 0.5027
Pm3 0.5000 0.7645 0.4973
Pm4 0.0000 0.4409 0.8407
Pm5 0.0000 0.5591 0.1593
Pm6 0.0000 0.0000 0.0000
Pm7 0.5000 0.0653 0.1655
Er1 0.5000 0.5000 0.0000
Er2 0.0000 0.8910 0.6594
Er3 0.0000 0.1090 0.3406
Ac1 0.5000 0.3892 0.6727
Ac2 0.5000 0.6108 0.3273